Entry 1
A plane-wave DFT calculation with PBE-GGA was carried out for a relaxed As3AuO crystal.

a b c (Å): 5.0497 5.0497 5.0497
angles (deg): 90.00 90.00 90.00
Closest atoms and distances in Å follow each position.
Space group Pm-3m (No. 221)
Inequivalent atoms, fractional coordinates:
As  0.0000  0.0000  0.5000  2 Au 2.52
Au  0.0000  0.0000  0.0000  6 As 2.52
O  0.5000  0.5000  0.5000  12 As 3.57

---

Entry 2
A plane-wave DFT calculation with PBE-GGA was carried out for a relaxed As3AuO crystal.

a b c (Å): 4.4312 4.4312 4.4312
angles (deg): 90.00 90.00 90.00
Closest atoms and distances in Å follow each position.
Space group Pm-3m (No. 221)
Inequivalent atoms, fractional coordinates:
As  0.0000  0.0000  0.5000  2 O 2.22
Au  0.5000  0.5000  0.5000  12 As 3.13
O  0.0000  0.0000  0.0000  6 As 2.22

---

Relative energy table, unit meV per atom: entry 1 931; entry 2 0

---

Entry 1
A plane-wave DFT calculation with PBE-GGA was carried out for a relaxed AsAu2O crystal.

a b c (Å): 6.2204 6.2204 7.5095
angles (deg): 90.00 90.00 90.00
Closest atoms and distances in Å follow each position.
Space group I-42d (No. 122)
Inequivalent atoms, fractional coordinates:
As  0.0000  0.0000  0.0000  4 Au 2.52
Au  0.2196  0.2500  0.6250  2 O 2.27, 2 As 2.52
O  0.0000  0.0000  0.5000  4 Au 2.27

---

Entry 2
A plane-wave DFT calculation with PBE-GGA was carried out for a relaxed AsAu2O crystal.

a b c (Å): 6.3057 6.3057 6.3057
angles (deg): 90.00 90.00 90.00
Closest atoms and distances in Å follow each position.
Space group Fm-3m (No. 225)
Inequivalent atoms, fractional coordinates:
As  0.0000  0.0000  0.0000  8 Au 2.73
Au  0.2500  0.2500  0.2500  4 O 2.73, 4 As 2.73
O  0.0000  0.0000  0.5000  8 Au 2.73

---

Relative energy table, unit meV per atom: entry 1 0; entry 2 224

---

Entry 1
A plane-wave DFT calculation with PBE-GGA was carried out for a relaxed As2OsAu crystal.

a b c (Å): 10.4654 3.1421 4.6214
angles (deg): 90.00 101.30 90.00
Closest atoms and distances in Å follow each position.
Space group Cm (No. 8)
Inequivalent atoms, fractional coordinates:
As  0.0000  0.0000  0.0000  2 Os 2.46, 1 Au 2.63
As  0.2128  0.0000  0.6607  2 Os 2.49, 2 Au 2.73
Os  0.0396  0.5000  0.4188  4 As 2.46-2.49
Au  0.2946  0.5000  0.2480  3 As 2.63-2.73, 1 Os 2.93

---

Entry 2
A plane-wave DFT calculation with PBE-GGA was carried out for a relaxed As2OsAu crystal.

a b c (Å): 3.1013 3.1013 25.0078
angles (deg): 90.00 90.00 120.00
Closest atoms and distances in Å follow each position.
Space group R-3m (No. 166, hexagonal axes)
Inequivalent atoms, fractional coordinates:
As  0.0000  0.0000  0.2405  3 Os 2.57
Os  0.0000  0.0000  0.5000  6 As 2.57
Au  0.0000  0.0000  0.0000  6 As 2.93, 6 Au 3.10

---

Relative energy table, unit meV per atom: entry 1 157; entry 2 0

---

Entry 1
A plane-wave DFT calculation with PBE-GGA was carried out for a relaxed AsPAu3 crystal.

a b c (Å): 4.9419 4.9419 4.9419
angles (deg): 90.00 90.00 90.00
Closest atoms and distances in Å follow each position.
Space group Pm-3m (No. 221)
Inequivalent atoms, fractional coordinates:
As  0.0000  0.0000  0.0000  6 Au 2.47
P  0.5000  0.5000  0.5000  12 Au 3.49
Au  0.0000  0.0000  0.5000  2 As 2.47

---

Entry 2
A plane-wave DFT calculation with PBE-GGA was carried out for a relaxed AsPAu3 crystal.

a b c (Å): 4.7567 4.7567 4.7567
angles (deg): 90.00 90.00 90.00
Closest atoms and distances in Å follow each position.
Space group Pm-3m (No. 221)
Inequivalent atoms, fractional coordinates:
As  0.0000  0.0000  0.0000  12 Au 3.36
P  0.5000  0.5000  0.5000  6 Au 2.38
Au  0.0000  0.5000  0.5000  2 P 2.38

---

Relative energy table, unit meV per atom: entry 1 309; entry 2 0

---

Entry 1
A plane-wave DFT calculation with PBE-GGA was carried out for a relaxed ReAs2PAu crystal.

a b c (Å): 4.2216 4.9800 5.5605
angles (deg): 116.57 106.95 90.01
Closest atoms and distances in Å follow each position.
Space group P1 (No. 1)
Inequivalent atoms, fractional coordinates:
Re  0.0000  0.0000  0.0000  1 P 2.20, 1 As 2.45
As  0.2612  0.5669  0.1319  2 Au 2.63-2.86, 2 Re 2.71-2.72, 1 As 2.79
As  0.4028  0.8610  0.7206  2 Re 2.45-2.52, 2 Au 2.69
P  0.0512  0.2286  0.4548  1 Re 2.20
Au  0.6542  0.3807  0.7604  2 P 2.50-2.60, 3 As 2.63-2.69

---

Entry 2
A plane-wave DFT calculation with PBE-GGA was carried out for a relaxed ReAs2PAu crystal.

a b c (Å): 9.1101 3.1587 6.3392
angles (deg): 90.00 96.27 90.00
Closest atoms and distances in Å follow each position.
Space group Cm (No. 8)
Inequivalent atoms, fractional coordinates:
Re  0.0000  0.0000  0.0000  2 P 2.37, 3 As 2.54-2.60
As  0.1372  0.0000  0.6719  1 P 2.34, 1 Re 2.54
As  0.2227  0.5000  0.1076  3 Re 2.60-2.69
P  0.3944  0.0000  0.7484  1 As 2.34, 2 Re 2.37, 1 Au 2.50
Au  0.4542  0.0000  0.3727  1 P 2.50

---

Relative energy table, unit meV per atom: entry 1 227; entry 2 0

---

Entry 1
A plane-wave DFT calculation with PBE-GGA was carried out for a relaxed ReAs2PAu crystal.

a b c (Å): 8.9080 3.1825 7.3960
angles (deg): 90.00 116.74 90.00
Closest atoms and distances in Å follow each position.
Space group Cm (No. 8)
Inequivalent atoms, fractional coordinates:
Re  0.0000  0.0000  0.0000  2 P 2.36, 4 As 2.56-2.62
As  0.2180  0.5000  0.6813  1 P 2.31, 1 Re 2.56
As  0.3236  0.0000  0.1097  1 Au 2.52, 3 Re 2.61-2.62
P  0.4957  0.0000  0.7625  1 As 2.31, 2 Re 2.36, 1 Au 2.51
Au  0.2601  0.0000  0.4097  1 P 2.51, 3 As 2.52-2.72

---

Entry 2
A plane-wave DFT calculation with PBE-GGA was carried out for a relaxed ReAs2PAu crystal.

a b c (Å): 4.5080 4.9031 4.9731
angles (deg): 111.63 105.81 104.09
Closest atoms and distances in Å follow each position.
Space group P1 (No. 1)
Inequivalent atoms, fractional coordinates:
Re  0.0000  0.0000  0.0000  2 P 2.41-2.45, 4 As 2.59-2.65
As  0.1864  0.9924  0.5494  1 Au 2.53, 1 As 2.56, 2 Re 2.59-2.65
As  0.7951  0.3828  0.8033  1 P 2.51, 1 As 2.56, 2 Re 2.63-2.65
P  0.5999  0.1170  0.2138  2 Re 2.41-2.45, 1 As 2.51, 1 Au 2.52
Au  0.4705  0.6093  0.3947  1 P 2.52, 1 As 2.53, 1 Re 2.76

---

Entry 3
A plane-wave DFT calculation with PBE-GGA was carried out for a relaxed ReAs2PAu crystal.

a b c (Å): 3.1236 7.4660 4.2264
angles (deg): 90.00 105.85 90.00
Closest atoms and distances in Å follow each position.
Space group Pm (No. 6)
Inequivalent atoms, fractional coordinates:
Re  0.0000  0.0000  0.0000  3 P 2.31-2.36
As  0.4909  0.2822  0.9668  2 Re 2.62-2.63, 2 Au 2.66-2.68, 1 P 2.82
P  0.6692  0.0000  0.4275  3 Re 2.31-2.36
Au  0.4994  0.5000  0.4653  4 As 2.66-2.68

---

Entry 4
A plane-wave DFT calculation with PBE-GGA was carried out for a relaxed ReAs2PAu crystal.

a b c (Å): 5.8329 7.7835 4.6276
angles (deg): 90.00 120.61 90.00
Closest atoms and distances in Å follow each position.
Space group Cm (No. 8)
Inequivalent atoms, fractional coordinates:
Re  0.0000  0.0000  0.0000  2 P 2.49-2.53, 4 As 2.53-2.66, 1 Au 2.68
As  0.1017  0.3120  0.9561  2 Re 2.53-2.66, 1 P 2.54, 1 Au 2.62
P  0.1938  0.0000  0.6194  2 Re 2.49-2.53, 2 As 2.54
Au  0.0559  0.5000  0.3925  4 As 2.62-2.88, 2 Re 2.68-2.80, 1 P 2.80

---

Relative energy table, unit meV per atom: entry 1 68; entry 2 211; entry 3 0; entry 4 237

---

Entry 1
A plane-wave DFT calculation with PBE-GGA was carried out for a relaxed AsPRhAuS crystal.

a b c (Å): 4.1470 4.5302 6.4959
angles (deg): 106.31 92.60 111.14
Closest atoms and distances in Å follow each position.
Space group P1 (No. 1)
Inequivalent atoms, fractional coordinates:
As  0.0000  0.0000  0.0000  1 P 2.35, 1 Rh 2.44, 1 Au 2.49
P  0.5236  0.6121  0.7290  1 S 2.16, 2 Rh 2.32-2.33, 1 As 2.35
Rh  0.3866  0.0687  0.7307  2 P 2.32-2.33, 1 S 2.39, 1 As 2.44
Au  0.7832  0.4517  0.1458  1 S 2.44, 1 As 2.49
S  0.8250  0.8278  0.5068  1 P 2.16, 1 Rh 2.39

---

Entry 2
A plane-wave DFT calculation with PBE-GGA was carried out for a relaxed AsPRhAuS crystal.

a b c (Å): 7.8196 3.4597 7.0872
angles (deg): 90.00 97.25 90.00
Closest atoms and distances in Å follow each position.
Space group Cm (No. 8)
Inequivalent atoms, fractional coordinates:
As  0.0000  0.0000  0.0000  2 Rh 2.57, 3 Au 2.61-2.65
P  0.2219  0.0000  0.6749  1 S 2.09
Rh  0.0350  0.5000  0.7389  3 P 2.35-2.43, 1 S 2.47, 2 As 2.57
Au  0.2170  0.5000  0.1693  3 As 2.61-2.65, 2 S 2.65
S  0.3466  0.0000  0.4315  1 P 2.09

---

Entry 3
A plane-wave DFT calculation with PBE-GGA was carried out for a relaxed AsPRhAuS crystal.

a b c (Å): 6.9489 3.8355 7.1408
angles (deg): 90.00 96.30 90.00
Closest atoms and distances in Å follow each position.
Space group Cm (No. 8)
Inequivalent atoms, fractional coordinates:
As  0.0000  0.0000  0.0000  3 Rh 2.45-2.54, 2 Au 2.66
P  0.3154  0.0000  0.7159  1 S 2.11
Rh  0.1655  0.5000  0.8491  3 P 2.43-2.51, 3 As 2.45-2.54
Au  0.1157  0.5000  0.2443  3 S 2.55-2.64, 2 As 2.66
S  0.2998  0.0000  0.4190  1 P 2.11

---

Relative energy table, unit meV per atom: entry 1 36; entry 2 11; entry 3 0

---

Entry 1
A plane-wave DFT calculation with PBE-GGA was carried out for a relaxed AsPAuSe2 crystal.

a b c (Å): 4.8908 4.8908 4.6686
angles (deg): 90.00 90.00 90.00
Closest atoms and distances in Å follow each position.
Space group P4/mmm (No. 123)
Inequivalent atoms, fractional coordinates:
As  0.0000  0.0000  0.0000  2 P 2.33
P  0.0000  0.0000  0.5000  2 As 2.33, 4 Se 2.45
Au  0.5000  0.5000  0.0000  8 Se 3.38, 4 As 3.46
Se  0.0000  0.5000  0.5000  2 P 2.45

---

Entry 2
A plane-wave DFT calculation with PBE-GGA was carried out for a relaxed AsPAuSe2 crystal.

a b c (Å): 5.0903 5.0903 4.8950
angles (deg): 90.00 90.00 90.00
Closest atoms and distances in Å follow each position.
Space group P4/mmm (No. 123)
Inequivalent atoms, fractional coordinates:
As  0.0000  0.0000  0.0000  2 Au 2.45
P  0.5000  0.5000  0.0000  8 Se 3.53, 4 As 3.60
Au  0.0000  0.0000  0.5000  2 As 2.45, 4 Se 2.55
Se  0.0000  0.5000  0.5000  2 Au 2.55

---

Relative energy table, unit meV per atom: entry 1 0; entry 2 357